Compound: ZrNbAlV
Source: Alexandria via LeMat-Bulk
Functional: PBE-GGA
Structure: relaxed

Cell: 4.6478 4.6478 4.6478 Å, 60.00 60.00 60.00°
Closest atoms and distances in Å follow each position.
Positions (direct):
Zr (0.0000, 0.0000, 0.0000)  4 Nb 2.85, 4 Al 2.85
Nb (0.7500, 0.7500, 0.7500)  4 Zr 2.85, 4 V 2.85
Al (0.2500, 0.2500, 0.2500)  4 Zr 2.85, 4 V 2.85
V (0.5000, 0.5000, 0.5000)  4 Nb 2.85, 4 Al 2.85

=====

Compound: Nb6AlW
Source: Alexandria via LeMat-Bulk
Functional: PBE-GGA
Structure: relaxed

Cell: 5.2192 5.2192 5.2192 Å, 89.93 89.93 89.93°
Closest atoms and distances in Å follow each position.
Positions (direct):
Nb (0.0002, 0.4996, 0.2539)  2 Nb 2.57-2.65
Nb (0.9998, 0.5004, 0.7461)  2 Nb 2.57-2.65
Nb (0.2539, 0.0002, 0.4996)  2 Nb 2.57-2.65
Nb (0.4996, 0.2539, 0.0002)  2 Nb 2.57-2.65
Nb (0.5004, 0.7461, 0.9998)  2 Nb 2.57-2.65
Nb (0.7461, 0.9998, 0.5004)  2 Nb 2.57-2.65
Al (0.0000, 0.0000, 0.0000)  12 Nb 2.93
W (0.5000, 0.5000, 0.5000)  12 Nb 2.91

=====

Compound: Nb3AlW
Source: Alexandria via LeMat-Bulk
Functional: PBE-GGA
Structure: relaxed

Cell: 4.6428 4.6428 4.6428 Å, 90.00 90.00 90.00°
Closest atoms and distances in Å follow each position.
Positions (direct):
Nb (0.0000, 0.0000, 0.5000)  2 Al 2.32
Nb (0.0000, 0.5000, 0.0000)  2 Al 2.32
Nb (0.5000, 0.0000, 0.0000)  2 Al 2.32
Al (0.0000, 0.0000, 0.0000)  6 Nb 2.32
W (0.5000, 0.5000, 0.5000)  12 Nb 3.28

=====

Compound: Nb3AlW
Source: Alexandria via LeMat-Bulk
Functional: PBE-GGA
Structure: relaxed

Cell: 4.8604 4.8604 4.8604 Å, 90.00 90.00 90.00°
Closest atoms and distances in Å follow each position.
Positions (direct):
Nb (0.0000, 0.0000, 0.5000)  2 W 2.43
Nb (0.0000, 0.5000, 0.0000)  2 W 2.43
Nb (0.5000, 0.0000, 0.0000)  2 W 2.43
Al (0.5000, 0.5000, 0.5000)  12 Nb 3.44
W (0.0000, 0.0000, 0.0000)  6 Nb 2.43

=====

Compound: Nb2AlW
Source: Alexandria via LeMat-Bulk
Functional: PBE-GGA
Structure: relaxed

Cell: 8.8231 8.8231 8.8231 Å, 20.18 20.18 20.18°
Closest atoms and distances in Å follow each position.
Positions (direct):
Nb (0.2463, 0.2463, 0.2463)  3 W 2.73, 3 Al 2.88
Nb (0.7537, 0.7537, 0.7537)  3 W 2.73, 3 Al 2.88
Al (0.0000, 0.0000, 0.0000)  6 Nb 2.88, 6 Al 3.09
W (0.5000, 0.5000, 0.5000)  6 Nb 2.73

=====

Compound: NbAlW2
Source: Alexandria via LeMat-Bulk
Functional: PBE-GGA
Structure: relaxed

Cell: 5.7921 5.7921 5.7921 Å, 102.48 102.48 124.59°
Closest atoms and distances in Å follow each position.
Positions (direct):
Nb (0.0000, 0.0000, 0.0000)  2 Al 2.69, 4 W 2.70
Nb (0.7500, 0.2500, 0.5000)  2 Al 2.69, 4 W 2.70
Al (0.2500, 0.7500, 0.5000)  4 W 2.60, 2 Nb 2.69
Al (0.5000, 0.5000, 0.0000)  4 W 2.60, 2 Nb 2.69
W (0.1353, 0.6250, 0.0103)  2 Al 2.60, 2 W 2.70, 2 Nb 2.70
W (0.3750, 0.3853, 0.5103)  2 Al 2.60, 2 W 2.70, 2 Nb 2.70
W (0.6147, 0.1250, 0.9897)  2 Al 2.60, 2 W 2.70, 2 Nb 2.70
W (0.8750, 0.8647, 0.4897)  2 Al 2.60, 2 W 2.70, 2 Nb 2.70

=====

Compound: Nb2AlW
Source: Alexandria via LeMat-Bulk
Functional: PBE-GGA
Structure: relaxed

Cell: 3.3388 3.3388 6.1343 Å, 90.00 90.00 90.00°
Closest atoms and distances in Å follow each position.
Positions (direct):
Nb (0.0000, 0.0000, 0.2460)  4 W 2.80, 4 Al 2.83, 2 Nb 3.02-3.12
Nb (0.0000, 0.0000, 0.7540)  4 W 2.80, 4 Al 2.83, 2 Nb 3.02-3.12
Al (0.5000, 0.5000, 0.5000)  8 Nb 2.83, 2 W 3.07
W (0.5000, 0.5000, 0.0000)  8 Nb 2.80, 2 Al 3.07

=====

Compound: Nb12Al3W
Source: Alexandria via LeMat-Bulk
Functional: PBE-GGA
Structure: relaxed

Cell: 5.2143 5.2416 10.3740 Å, 90.00 90.00 90.00°
Closest atoms and distances in Å follow each position.
Positions (direct):
Nb (0.0000, 0.0000, 0.1236)  2 Nb 2.57-2.60
Nb (0.0000, 0.0000, 0.3745)  2 Nb 2.60, 2 Al 2.91
Nb (0.0000, 0.0000, 0.6255)  2 Nb 2.60, 2 Al 2.91
Nb (0.0000, 0.0000, 0.8764)  2 Nb 2.57-2.60
Nb (0.2529, 0.5000, 0.0000)  2 Nb 2.58-2.64
Nb (0.2542, 0.5000, 0.5000)  2 Nb 2.56-2.65
Nb (0.5000, 0.2471, 0.2493)  2 Nb 2.59-2.65, 1 W 2.89
Nb (0.5000, 0.2471, 0.7507)  2 Nb 2.59-2.65, 1 W 2.89
Nb (0.5000, 0.7529, 0.2493)  2 Nb 2.59-2.65, 1 W 2.89
Nb (0.5000, 0.7529, 0.7507)  2 Nb 2.59-2.65, 1 W 2.89
Nb (0.7458, 0.5000, 0.5000)  2 Nb 2.56-2.65
Nb (0.7471, 0.5000, 0.0000)  2 Nb 2.58-2.64
Al (0.0000, 0.5000, 0.2510)  12 Nb 2.90-2.94
Al (0.0000, 0.5000, 0.7490)  12 Nb 2.90-2.94
Al (0.5000, 0.0000, 0.5000)  12 Nb 2.91-2.92
W (0.5000, 0.0000, 0.0000)  12 Nb 2.89-2.92

=====

Compound: NbAl2W2
Source: Alexandria via LeMat-Bulk
Functional: PBE-GGA
Structure: relaxed

Cell: 6.8883 6.8883 3.3653 Å, 90.00 90.00 90.00°
Closest atoms and distances in Å follow each position.
Positions (direct):
Nb (0.0000, 0.0000, 0.0000)  4 Al 2.71
Nb (0.5000, 0.5000, 0.0000)  4 Al 2.71
Al (0.1275, 0.3725, 0.0000)  1 Al 2.48, 6 W 2.58-2.68, 2 Nb 2.71
Al (0.3725, 0.8725, 0.0000)  1 Al 2.48, 6 W 2.58-2.68, 2 Nb 2.71
Al (0.6275, 0.1275, 0.0000)  1 Al 2.48, 6 W 2.58-2.68, 2 Nb 2.71
Al (0.8725, 0.6275, 0.0000)  1 Al 2.48, 6 W 2.58-2.68, 2 Nb 2.71
W (0.1713, 0.6713, 0.5000)  6 Al 2.58-2.68
W (0.3287, 0.1713, 0.5000)  6 Al 2.58-2.68
W (0.6713, 0.8287, 0.5000)  6 Al 2.58-2.68
W (0.8287, 0.3287, 0.5000)  6 Al 2.58-2.68

=====

Compound: Nb6AlW
Source: Alexandria via LeMat-Bulk
Functional: PBE-GGA
Structure: relaxed

Cell: 4.6119 5.6966 5.6966 Å, 70.41 90.00 90.00°
Closest atoms and distances in Å follow each position.
Positions (direct):
Nb (0.0000, 0.0000, 0.0000)  8 Nb 2.83-2.87
Nb (0.0000, 0.0161, 0.4984)  4 Nb 2.80-2.87, 2 W 2.83-2.87, 2 Al 2.86
Nb (0.0000, 0.4984, 0.0161)  4 Nb 2.80-2.87, 2 W 2.83-2.87, 2 Al 2.86
Nb (0.5000, 0.2575, 0.2575)  8 Nb 2.80-2.87
Nb (0.5000, 0.2617, 0.7518)  2 W 2.81, 4 Nb 2.82-2.87, 2 Al 2.85
Nb (0.5000, 0.7518, 0.2617)  2 W 2.81, 4 Nb 2.82-2.87, 2 Al 2.85
Al (0.5000, 0.7591, 0.7591)  8 Nb 2.85-2.86
W (0.0000, 0.5144, 0.5144)  8 Nb 2.81-2.87

=====

Compound: Nb2AlW
Source: Alexandria via LeMat-Bulk
Functional: PBE-GGA
Structure: relaxed

Cell: 5.8852 5.8852 5.8852 Å, 102.66 102.66 124.16°
Closest atoms and distances in Å follow each position.
Positions (direct):
Nb (0.1059, 0.6250, 0.9809)  2 W 2.60, 2 Nb 2.77, 2 Al 2.79
Nb (0.3750, 0.3559, 0.4809)  2 W 2.60, 2 Nb 2.77, 2 Al 2.79
Nb (0.6441, 0.1250, 0.0191)  2 W 2.60, 2 Nb 2.77, 2 Al 2.79
Nb (0.8750, 0.8941, 0.5191)  2 W 2.60, 2 Nb 2.77, 2 Al 2.79
Al (0.2500, 0.7500, 0.5000)  2 W 2.76, 4 Nb 2.79
Al (0.5000, 0.5000, 0.0000)  2 W 2.76, 4 Nb 2.79
W (0.0000, 0.0000, 0.0000)  4 Nb 2.60, 2 Al 2.76
W (0.7500, 0.2500, 0.5000)  4 Nb 2.60, 2 Al 2.76

=====

Compound: ZrNbAl2W
Source: Alexandria via LeMat-Bulk
Functional: PBE-GGA
Structure: relaxed

Cell: 4.8665 4.8665 4.7619 Å, 90.00 90.00 90.00°
Closest atoms and distances in Å follow each position.
Positions (direct):
Zr (0.0000, 0.0000, 0.0000)  2 W 2.38, 4 Al 2.43
Nb (0.5000, 0.5000, 0.5000)  8 Al 3.40, 4 W 3.44
Al (0.0000, 0.5000, 0.0000)  2 Zr 2.43
Al (0.5000, 0.0000, 0.0000)  2 Zr 2.43
W (0.0000, 0.0000, 0.5000)  2 Zr 2.38

=====

Energy of formation readings, ordered: -0.07, -0.13, 1.43, 1.27, 0.16, 0.87, -0.13, -0.17, 0.04, -0.10, 0.62, 1.69 eV/atom
DOS(E_F) readings, ordered: 3.0, 6.9, 6.2, 3.6, 3.3, 3.8, 3.0, 18.5, 4.8, 8.3, 3.3, 4.7 states/eV/f.u.
Uncorrected energy readings, ordered: -7.94, -9.77, -7.95, -8.12, -9.05, -9.06, -9.34, -9.24, -8.65, -9.74, -8.59, -6.12 eV per atom